Record 1
Below is a geometry-optimized Y2AlN3 structure, with properties calculated at the GGA-PBE level.

Cell: 11.247 6.282 5.127 Å, 90.00 90.00 90.00°
Space group Cmc2_1 (No. 36)
Inequivalent atoms, fractional coordinates:
Y: 0.159 0.183 0.000 [8 per cell]
Al: 0.000 0.341 0.528 [4 per cell]
N: 0.000 0.379 0.895 [4 per cell]
N: 0.148 0.184 0.462 [8 per cell]

Spin magnetization in Bohr magnetons per cell: 0.00
V in Å³/atom: 15.09
E_tot in eV per atom: -8.37
Uncorrected formation energy in kJ/mol of formula units: -829
Relative energy among the computed polymorphs in eV/f.u.: 0.00

Record 2
Below is a geometry-optimized Y12Al4ZnN3 structure, with properties calculated at the GGA-PBE level.

Cell: 9.840 9.840 9.840 Å, 90.00 90.00 90.00°
Space group Im-3m (No. 229)
Inequivalent atoms, fractional coordinates:
Y: 0.000 0.000 0.267 [12 per cell]
Y: 0.000 0.250 0.500 [12 per cell]
Al: 0.250 0.250 0.250 [8 per cell]
Zn: 0.000 0.000 0.000 [2 per cell]
N: 0.000 0.000 0.500 [6 per cell]

Spin magnetization in Bohr magnetons per cell: 0.00
V in Å³/atom: 23.82
E_tot in eV per atom: -6.55
Uncorrected formation energy in kJ/mol of formula units: -1185

Record 3
Below is a geometry-optimized YAlZn2N structure, with properties calculated at the GGA-PBE level.

Cell: 5.484 5.484 5.758 Å, 90.00 90.00 90.00°
Space group P4/mmm (No. 123)
Inequivalent atoms, fractional coordinates:
Y: 0.000 0.000 0.000 [1 per cell]
Al: 0.000 0.000 0.500 [1 per cell]
Zn: 0.000 0.500 0.000 [2 per cell]
N: 0.500 0.500 0.500 [1 per cell]

Spin magnetization in Bohr magnetons per cell: 0.00
V in Å³/atom: 34.63
E_tot in eV per atom: -2.13
Uncorrected formation energy in kJ/mol of formula units: 1005

Record 4
Below is a geometry-optimized Y2ZrAlN structure, with properties calculated at the GGA-PBE level.

Cell: 4.770 4.770 4.495 Å, 90.00 90.00 90.00°
Space group P4/mmm (No. 123)
Inequivalent atoms, fractional coordinates:
Y: 0.000 0.500 0.000 [2 per cell]
Zr: 0.000 0.000 0.500 [1 per cell]
Al: 0.500 0.500 0.500 [1 per cell]
N: 0.000 0.000 0.000 [1 per cell]

Spin magnetization in Bohr magnetons per cell: 0.00
V in Å³/atom: 20.46
E_tot in eV per atom: -7.59
Uncorrected formation energy in kJ/mol of formula units: -423

Record 5
Below is a geometry-optimized Al2ZnN structure, with properties calculated at the GGA-PBE level.

Cell: 6.039 6.039 6.039 Å, 90.00 90.00 90.00°
Space group Fm-3m (No. 225)
Inequivalent atoms, fractional coordinates:
Al: 0.250 0.250 0.250 [8 per cell]
Zn: 0.000 0.000 0.000 [4 per cell]
N: 0.000 0.000 0.500 [4 per cell]

Spin magnetization in Bohr magnetons per cell: 0.00
V in Å³/atom: 13.76
E_tot in eV per atom: -3.45
Uncorrected formation energy in kJ/mol of formula units: 317
Relative energy among the computed polymorphs in eV/f.u.: 4.24

Record 6
Below is a geometry-optimized AlZn2N structure, with properties calculated at the GGA-PBE level.

Cell: 5.714 5.714 8.107 Å, 90.00 90.00 90.00°
Space group I-42d (No. 122)
Inequivalent atoms, fractional coordinates:
Al: 0.000 0.000 0.000 [4 per cell]
Zn: 0.146 0.250 0.625 [8 per cell]
N: 0.000 0.000 0.500 [4 per cell]

Spin magnetization in Bohr magnetons per cell: 0.00
V in Å³/atom: 16.54
E_tot in eV per atom: -3.34
Uncorrected formation energy in kJ/mol of formula units: 121
Relative energy among the computed polymorphs in eV/f.u.: 0.00

Record 7
Below is a geometry-optimized AlZn2N structure, with properties calculated at the GGA-PBE level.

Cell: 6.103 6.103 6.103 Å, 90.00 90.00 90.00°
Space group Fm-3m (No. 225)
Inequivalent atoms, fractional coordinates:
Al: 0.000 0.000 0.000 [4 per cell]
Zn: 0.250 0.250 0.250 [8 per cell]
N: 0.000 0.000 0.500 [4 per cell]

Spin magnetization in Bohr magnetons per cell: 0.00
V in Å³/atom: 14.21
E_tot in eV per atom: -2.66
Uncorrected formation energy in kJ/mol of formula units: 382
Relative energy among the computed polymorphs in eV/f.u.: 2.71

Record 8
Below is a geometry-optimized AlZnN structure, with properties calculated at the GGA-PBE level.

Cell: 4.516 11.160 3.273 Å, 90.00 90.00 90.00°
Space group Ama2 (No. 40)
Inequivalent atoms, fractional coordinates:
Al: 0.250 0.217 0.000 [4 per cell]
Zn: 0.000 0.000 0.998 [4 per cell]
N: 0.250 0.295 0.500 [4 per cell]

Spin magnetization in Bohr magnetons per cell: 0.00
V in Å³/atom: 13.75
E_tot in eV per atom: -4.70
Uncorrected formation energy in kJ/mol of formula units: -73

Record 9
Below is a geometry-optimized Al2ZnN structure, with properties calculated at the GGA-PBE level.

Cell: 5.404 5.404 8.547 Å, 90.00 90.00 90.00°
Space group I-42d (No. 122)
Inequivalent atoms, fractional coordinates:
Al: 0.155 0.250 0.125 [8 per cell]
Zn: 0.000 0.000 0.500 [4 per cell]
N: 0.000 0.000 0.000 [4 per cell]

Spin magnetization in Bohr magnetons per cell: 0.00
V in Å³/atom: 15.60
E_tot in eV per atom: -4.51
Uncorrected formation energy in kJ/mol of formula units: -91
Relative energy among the computed polymorphs in eV/f.u.: 0.00

Record 10
Below is a geometry-optimized ZrAl3N4 structure, with properties calculated at the GGA-PBE level.

Cell: 2.947 4.328 6.087 Å, 90.00 90.00 90.00°
Space group Pmmm (No. 47)
Inequivalent atoms, fractional coordinates:
Zr: 0.000 0.000 0.000 [1 per cell]
Al: 0.000 0.000 0.500 [1 per cell]
Al: 0.500 0.500 0.264 [2 per cell]
N: 0.000 0.500 0.000 [1 per cell]
N: 0.000 0.500 0.500 [1 per cell]
N: 0.500 0.000 0.281 [2 per cell]

Spin magnetization in Bohr magnetons per cell: 0.00
V in Å³/atom: 9.71
E_tot in eV per atom: -7.72
Uncorrected formation energy in kJ/mol of formula units: -834

Record 11
Below is a geometry-optimized Zr7Al2N2 structure, with properties calculated at the GGA-PBE level.

Cell: 7.098 9.760 5.875 Å, 90.00 90.00 90.00°
Space group Cmmm (No. 65)
Inequivalent atoms, fractional coordinates:
Zr: 0.000 0.000 0.000 [2 per cell]
Zr: 0.000 0.500 0.239 [4 per cell]
Zr: 0.250 0.250 0.239 [8 per cell]
Al: 0.173 0.000 0.500 [4 per cell]
N: 0.000 0.270 0.000 [4 per cell]

Spin magnetization in Bohr magnetons per cell: 0.00
V in Å³/atom: 18.50
E_tot in eV per atom: -8.11
Uncorrected formation energy in kJ/mol of formula units: -501

Record 12
Below is a geometry-optimized ZrAlN3 structure, with properties calculated at the GGA-PBE level.

Cell: 3.699 3.699 3.699 Å, 90.00 90.00 90.00°
Space group Pm-3m (No. 221)
Inequivalent atoms, fractional coordinates:
Zr: 0.000 0.000 0.000 [1 per cell]
Al: 0.500 0.500 0.500 [1 per cell]
N: 0.000 0.500 0.500 [3 per cell]

Spin magnetization in Bohr magnetons per cell: 0.00
V in Å³/atom: 10.12
E_tot in eV per atom: -7.62
Uncorrected formation energy in kJ/mol of formula units: -82

Record 13
Below is a geometry-optimized Zr4Al2N structure, with properties calculated at the GGA-PBE level.

Cell: 4.314 4.314 14.961 Å, 90.00 90.00 90.00°
Space group I4/mmm (No. 139)
Inequivalent atoms, fractional coordinates:
Zr: 0.000 0.000 0.161 [4 per cell]
Zr: 0.000 0.500 0.000 [4 per cell]
Al: 0.000 0.000 0.358 [4 per cell]
N: 0.000 0.000 0.000 [2 per cell]

Spin magnetization in Bohr magnetons per cell: 0.00
V in Å³/atom: 19.89
E_tot in eV per atom: -7.76
Uncorrected formation energy in kJ/mol of formula units: -416

Record 14
Below is a geometry-optimized ZrAlN3 structure, with properties calculated at the GGA-PBE level.

Cell: 4.197 4.197 4.197 Å, 90.00 90.00 90.00°
Space group Pm-3m (No. 221)
Inequivalent atoms, fractional coordinates:
Zr: 0.000 0.000 0.000 [1 per cell]
Al: 0.500 0.500 0.500 [1 per cell]
N: 0.000 0.000 0.500 [3 per cell]

Spin magnetization in Bohr magnetons per cell: 2.27
V in Å³/atom: 14.78
E_tot in eV per atom: -6.64
Uncorrected formation energy in kJ/mol of formula units: 390

Record 15
Below is a geometry-optimized Zr6AlN4 structure, with properties calculated at the GGA-PBE level.

Cell: 3.337 11.111 17.387 Å, 90.00 90.00 90.00°
Space group Cmcm (No. 63)
Inequivalent atoms, fractional coordinates:
Zr: 0.000 0.000 0.000 [4 per cell]
Zr: 0.000 0.141 0.250 [4 per cell]
Zr: 0.000 0.277 0.581 [8 per cell]
Zr: 0.000 0.462 0.147 [8 per cell]
Al: 0.000 0.161 0.750 [4 per cell]
N: 0.000 0.093 0.119 [8 per cell]
N: 0.000 0.361 0.038 [8 per cell]

Spin magnetization in Bohr magnetons per cell: 0.00
V in Å³/atom: 14.65
E_tot in eV per atom: -9.37
Uncorrected formation energy in kJ/mol of formula units: -1419

Record 16
Below is a geometry-optimized ZrAlN2 structure, with properties calculated at the GGA-PBE level.

Cell: 4.778 4.778 9.152 Å, 90.00 90.00 90.00°
Space group I-42d (No. 122)
Inequivalent atoms, fractional coordinates:
Zr: 0.000 0.000 0.000 [4 per cell]
Al: 0.000 0.000 0.500 [4 per cell]
N: 0.209 0.250 0.625 [8 per cell]

Spin magnetization in Bohr magnetons per cell: 0.00
V in Å³/atom: 13.06
E_tot in eV per atom: -8.35
Uncorrected formation energy in kJ/mol of formula units: -429

Record 17
Below is a geometry-optimized Zr3AlN4 structure, with properties calculated at the GGA-PBE level.

Cell: 3.214 3.214 8.980 Å, 90.00 90.00 90.00°
Space group P4/mmm (No. 123)
Inequivalent atoms, fractional coordinates:
Zr: 0.000 0.000 0.000 [1 per cell]
Zr: 0.500 0.500 0.252 [2 per cell]
Al: 0.000 0.000 0.500 [1 per cell]
N: 0.000 0.000 0.275 [2 per cell]
N: 0.500 0.500 0.000 [1 per cell]
N: 0.500 0.500 0.500 [1 per cell]

Spin magnetization in Bohr magnetons per cell: 0.00
V in Å³/atom: 11.60
E_tot in eV per atom: -9.26
Uncorrected formation energy in kJ/mol of formula units: -1101

Record 18
Below is a geometry-optimized Zr6AlN structure, with properties calculated at the GGA-PBE level.

Cell: 8.5024 8.5024 7.7278 Å, 90.00 90.00 120.00°
Space group R-3 (No. 148, hexagonal axes)
Inequivalent atoms, fractional coordinates:
Zr: 0.0727 0.2487 0.1617 [18 per cell]
Al: 0.0000 0.0000 0.5000 [3 per cell]
N: 0.0000 0.0000 0.0000 [3 per cell]

Spin magnetization in Bohr magnetons per cell: 0.00
V in Å³/atom: 20.16
E_tot in eV per atom: -8.44
Uncorrected formation energy in kJ/mol of formula units: -400

Record 19
Below is a geometry-optimized ZrAl3N structure, with properties calculated at the GGA-PBE level.

Cell: 4.204 4.204 4.204 Å, 90.00 90.00 90.00°
Space group Pm-3m (No. 221)
Inequivalent atoms, fractional coordinates:
Zr: 0.000 0.000 0.000 [1 per cell]
Al: 0.000 0.500 0.500 [3 per cell]
N: 0.500 0.500 0.500 [1 per cell]

Spin magnetization in Bohr magnetons per cell: 1.39
V in Å³/atom: 14.86
E_tot in eV per atom: -5.67
Uncorrected formation energy in kJ/mol of formula units: -23
Relative energy among the computed polymorphs in eV/f.u.: 0.00

Record 20
Below is a geometry-optimized Zr5Al3N structure, with properties calculated at the GGA-PBE level.

Cell: 8.2512 8.2512 5.6656 Å, 90.00 90.00 120.00°
Space group P6_3/mcm (No. 193)
Inequivalent atoms, fractional coordinates:
Zr: 0.0000 0.2232 0.2500 [6 per cell]
Zr: 0.3333 0.6667 0.0000 [4 per cell]
Al: 0.0000 0.4030 0.7500 [6 per cell]
N: 0.0000 0.0000 0.0000 [2 per cell]

Spin magnetization in Bohr magnetons per cell: 0.00
V in Å³/atom: 18.56
E_tot in eV per atom: -7.63
Uncorrected formation energy in kJ/mol of formula units: -617

Record 21
Below is a geometry-optimized ZrAl3N structure, with properties calculated at the GGA-PBE level.

Cell: 5.279 5.279 5.279 Å, 90.00 90.00 90.00°
Space group Pm-3m (No. 221)
Inequivalent atoms, fractional coordinates:
Zr: 0.000 0.000 0.000 [1 per cell]
Al: 0.000 0.000 0.500 [3 per cell]
N: 0.500 0.500 0.500 [1 per cell]

Spin magnetization in Bohr magnetons per cell: 0.00
V in Å³/atom: 29.42
E_tot in eV per atom: -3.48
Uncorrected formation energy in kJ/mol of formula units: 1031
Relative energy among the computed polymorphs in eV/f.u.: 10.92

Record 22
Below is a geometry-optimized ZrAlN2 structure, with properties calculated at the GGA-PBE level.

Cell: 3.137 3.137 4.492 Å, 90.00 90.00 90.00°
Space group P4/mmm (No. 123)
Inequivalent atoms, fractional coordinates:
Zr: 0.000 0.000 0.000 [1 per cell]
Al: 0.500 0.500 0.500 [1 per cell]
N: 0.000 0.000 0.500 [1 per cell]
N: 0.500 0.500 0.000 [1 per cell]

Spin magnetization in Bohr magnetons per cell: 0.00
V in Å³/atom: 11.05
E_tot in eV per atom: -8.31
Uncorrected formation energy in kJ/mol of formula units: -415

Record 23
Below is a geometry-optimized NaAl2 structure, with properties calculated at the GGA-PBE level.

Cell: 2.917 2.917 14.324 Å, 90.00 90.00 90.00°
Space group I4/mmm (No. 139)
Inequivalent atoms, fractional coordinates:
Na: 0.000 0.000 0.000 [2 per cell]
Al: 0.000 0.000 0.321 [4 per cell]

Spin magnetization in Bohr magnetons per cell: 0.00
V in Å³/atom: 20.32
E_tot in eV per atom: -2.85
DFT formation energy in eV/f.u.: 0.25
Relative energy among the computed polymorphs in eV/f.u.: 0.08

Record 24
Below is a geometry-optimized NaAl structure, with properties calculated at the GGA-PBE level.

Cell: 8.535 8.535 8.535 Å, 90.00 90.00 90.00°
Space group Pm-3n (No. 223)
Inequivalent atoms, fractional coordinates:
Na: 0.000 0.250 0.500 [6 per cell]
Al: 0.000 0.500 0.250 [6 per cell]

Spin magnetization in Bohr magnetons per cell: 0.00
V in Å³/atom: 51.82
E_tot in eV per atom: -1.46
DFT formation energy in eV/f.u.: 2.14